A relaxed TiIrCl3 crystal. Source: Alexandria via LeMat-Bulk, functional GGA-PBE.

Lattice parameters (Å, degrees): 4.818 4.818 4.818 90.00 90.00 90.00
Fractional positions:
Ti1 0.000 0.000 0.000
Ir1 0.500 0.500 0.500
Cl1 0.000 0.500 0.500
Cl2 0.500 0.000 0.500
Cl3 0.500 0.500 0.000

Computed properties:
The uncorrected formation energy is 0.32 eV/atom. The density of states at the Fermi level is 11.938 states/eV per cell. As for the symmetry: Pm-3m (221). Its total energy is -4.138 eV/atom. The crystal system is cubic. The calculation puts the total magnetic moment at 2.40 Bohr magnetons per cell.